#one
The following is a PBE calculation of an optimized crystal structure of KTl2As, from Alexandria.

Computed properties:
DOS at the Fermi energy	0.166	states/eV per atom
theoretical density	6.26	Mg/m³

Cell: 4.555 4.555 8.154 Å, 73.78 73.78 60.00°
Fractional coordinates of all 4 atoms:
K1 0.500 0.500 0.501
Tl1 0.061 0.061 0.817
Tl2 0.272 0.272 0.183
As1 0.667 0.667 0.000

#two
The following is a PBE calculation of an optimized crystal structure of KTl2As, from Alexandria.

Computed properties:
DOS at the Fermi energy	0.369	states/eV per atom
theoretical density	6.95	Mg/m³

Cell: 4.032 4.032 7.687 Å, 90.00 90.00 90.00°
Fractional coordinates of all 4 atoms:
As1 0.000 0.000 0.436
K1 0.500 0.500 0.727
Tl1 0.000 0.000 0.054
Tl2 0.500 0.500 0.282

On energetic grounds, #one is preferred over the next structure by 52 meV per atom.

#one
The following is a PBE calculation of an optimized crystal structure of KTl2As, from Alexandria.

Computed properties:
DOS at the Fermi energy	0.225	states/eV per atom
theoretical density	6.81	Mg/m³

Cell: 6.741 6.741 5.903 Å, 64.04 64.04 32.26°
Fractional coordinates of all 4 atoms:
K1 0.750 0.750 0.750
Tl1 0.950 0.950 0.051
Tl2 0.550 0.550 0.449
As1 0.250 0.250 0.250

#two
The following is a PBE calculation of an optimized crystal structure of KTl2As, from Alexandria.

Computed properties:
DOS at the Fermi energy	0.109	states/eV per atom
theoretical density	7.20	Mg/m³

Cell: 5.547 5.547 5.547 Å, 120.02 120.02 89.96°
Fractional coordinates of all 4 atoms:
As1 0.500 0.500 0.000
K1 0.750 0.250 0.500
Tl1 0.000 0.000 0.000
Tl2 0.250 0.750 0.500

#three
The following is a PBE calculation of an optimized crystal structure of KTl2As, from Alexandria.

Computed properties:
DOS at the Fermi energy	0.871	states/eV per atom
theoretical density	7.43	Mg/m³

Cell: 4.822 4.837 5.008 Å, 90.00 90.00 90.00°
Fractional coordinates of all 4 atoms:
As1 0.500 0.000 0.500
K1 0.000 0.500 0.500
Tl1 0.000 0.000 0.000
Tl2 0.500 0.500 0.000

#four
The following is a PBE calculation of an optimized crystal structure of KTl2As, from Alexandria.

Computed properties:
DOS at the Fermi energy	0.768	states/eV per atom
theoretical density	6.29	Mg/m³

Cell: 4.552 4.729 6.415 Å, 88.93 90.00 90.00°
Fractional coordinates of all 4 atoms:
As1 0.000 0.370 0.477
K1 0.500 0.866 0.678
Tl1 0.000 0.883 0.146
Tl2 0.500 0.381 0.198

On energetic grounds, #one is preferred over the next structure by 22 meV per atom.

#one
The following is a PBE calculation of an optimized crystal structure of KTlAs, from Alexandria.

Computed properties:
DOS at the Fermi energy	0.423	states/eV per atom
theoretical density	5.87	Mg/m³

Cell: 7.251 7.252 3.646 Å, 75.42 75.45 29.12°
Fractional coordinates of all 3 atoms:
As1 0.013 0.013 0.987
K1 0.347 0.347 0.653
Tl1 0.639 0.639 0.361

#two
The following is a PBE calculation of an optimized crystal structure of KTlAs, from Alexandria.

Computed properties:
DOS at the Fermi energy	0.454	states/eV per atom
theoretical density	5.23	Mg/m³

Cell: 5.231 5.231 5.231 Å, 60.00 60.00 60.00°
Fractional coordinates of all 3 atoms:
As1 0.750 0.750 0.750
K1 0.000 0.000 0.000
Tl1 0.500 0.500 0.500

#three
The following is a PBE calculation of an optimized crystal structure of KTlAs, from Alexandria.

Computed properties:
DOS at the Fermi energy	0.500	states/eV per atom
theoretical density	5.78	Mg/m³

Cell: 4.784 8.103 9.430 Å, 90.00 90.00 90.01°
Fractional coordinates of all 12 atoms:
K1 0.750 0.514 0.178
K2 0.250 0.986 0.678
K3 0.250 0.486 0.822
K4 0.750 0.014 0.322
Tl1 0.250 0.847 0.079
Tl2 0.750 0.653 0.579
Tl3 0.750 0.153 0.921
Tl4 0.250 0.347 0.421
As1 0.250 0.216 0.103
As2 0.750 0.284 0.603
As3 0.750 0.784 0.897
As4 0.250 0.716 0.397

#four
The following is a PBE calculation of an optimized crystal structure of KTlAs, from Alexandria.

Computed properties:
DOS at the Fermi energy	0.742	states/eV per atom
theoretical density	4.95	Mg/m³

Cell: 5.327 5.327 5.327 Å, 60.00 60.00 60.00°
Last column: magnetic moment on the atom in μB.
Fractional coordinates of all 3 atoms:
As1 0.500 0.500 0.500  0.42
K1 0.750 0.750 0.750  0.01
Tl1 0.000 0.000 0.000  0.02

On energetic grounds, #three is preferred over the next structure by 105 meV per atom.

#one
The following is a PBE calculation of an optimized crystal structure of KTlAs3, from Alexandria.

Computed properties:
DOS at the Fermi energy	1.806	states/eV per atom
theoretical density	4.45	Mg/m³

Cell: 5.590 5.590 5.590 Å, 90.00 90.00 90.00°
Last column: magnetic moment on the atom in μB.
Fractional coordinates of all 5 atoms:
K1 0.000 0.000 0.000  0.02
Tl1 0.500 0.500 0.500  0.00
As1 0.000 0.500 0.000  0.05
As2 0.000 0.000 0.500  0.09
As3 0.500 0.000 0.000  0.06

#two
The following is a PBE calculation of an optimized crystal structure of KTlAs3, from Alexandria.

Computed properties:
DOS at the Fermi energy	1.231	states/eV per atom
theoretical density	4.75	Mg/m³

Cell: 5.471 5.471 5.471 Å, 90.00 90.00 90.00°
Fractional coordinates of all 5 atoms:
K1 0.500 0.500 0.500
Tl1 0.000 0.000 0.000
As1 0.000 0.500 0.000
As2 0.000 0.000 0.500
As3 0.500 0.000 0.000

On energetic grounds, #two is preferred over the next structure by 633 meV per atom.